A geometry-optimized ScSn2Pd3 structure, computed with GGA-PBE.

```
12
Lattice="2.393 -7.104 0.000 2.393 7.104 0.000 0.000 0.000 6.528" Properties=species:S:1:pos:R:3 pbc="T T T"
Sc 2.393 4.788 0.000
Sc 2.393 -4.788 0.000
Sn 2.393 4.717 3.264
Sn 2.393 0.000 0.000
Sn 2.393 0.000 3.264
Sn 2.393 -4.717 3.264
Pd 0.000 0.000 1.559
Pd 0.000 0.000 4.970
Pd 2.393 2.445 1.510
Pd 2.393 2.445 5.018
Pd 2.393 -2.445 1.510
Pd 2.393 -2.445 5.018
```

Calculated values
**Electronic total energy**: -67.80 eV per cell
**ΔH_f (0 K)**: -0.6643 eV/atom
**Total moment**: 0.00 μB per cell